Entry 1:
Below is an optimized crystal structure of Ba2AsP2, with properties calculated at the GGA-PBE level.

Values from the calculation:
The calculation puts the final energy at -22.201 eV per formula unit. Its density of states at the Fermi level is 0.651 states/eV per atom. For the formation energy, the calculation gives -0.58 eV/atom. For the energy above the lowest structure with this stoichiometry, the calculation gives 153.1 meV/atom. The calculation puts the calculated density at 4.9 g/cm³.

Cell and atoms, written as extended XYZ:
```
5
Lattice="-1.914 1.914 9.545 1.914 -1.914 9.545 1.914 1.914 -9.545" Properties=species:S:1:pos:R:3 pbc="T T T"
Ba 0.000 0.000 2.088
Ba 0.000 0.000 17.003
As 0.000 0.000 9.545
P 1.914 0.000 4.773
P 0.000 1.914 4.773
```

=====

Entry 2:
Below is an optimized crystal structure of Sr2ZrP2, with properties calculated at the GGA-PBE level.

Values from the calculation:
The calculation puts the final energy at -22.256 eV per formula unit. Its density of states at the Fermi level is 0.028 states/eV per atom. For the formation energy, the calculation gives 0.10 eV/atom. For the energy above the lowest structure with this stoichiometry, the calculation gives 922.9 meV/atom. The calculation puts the calculated density at 3.9 g/cm³.

Cell and atoms, written as extended XYZ:
```
5
Lattice="-2.725 2.725 4.715 2.725 -2.725 4.715 2.725 2.725 -4.715" Properties=species:S:1:pos:R:3 pbc="T T T"
Sr 0.000 0.000 1.508
Sr 0.000 0.000 7.922
Zr 0.000 0.000 4.715
P 2.725 0.000 2.357
P 0.000 2.725 2.357
```

=====

Entry 3:
Below is an optimized crystal structure of Tb2TmCu6, with properties calculated at the GGA-PBE level.

Values from the calculation:
The calculation puts the final energy at -40.644 eV per formula unit. Its density of states at the Fermi level is 0.501 states/eV per atom. For the formation energy, the calculation gives -0.26 eV/atom. The calculation puts the calculated density at 8.8 g/cm³.

Cell and atoms, written as extended XYZ:
```
9
Lattice="7.319 0.000 0.000 -3.659 6.338 0.000 0.000 0.000 3.551" Properties=species:S:1:pos:R:3 pbc="T T T"
Tb 0.000 4.225 0.000
Tb 3.659 2.113 0.000
Tm 0.000 0.000 0.000
Cu -1.215 2.105 1.775
Cu -2.444 4.233 1.775
Cu 2.430 0.000 1.775
Cu 1.215 2.105 1.775
Cu 4.888 0.000 1.775
Cu 2.444 4.233 1.775
```

=====

Entry 4:
Below is an optimized crystal structure of CaScRu3, with properties calculated at the GGA-PBE level.

Values from the calculation:
The calculation puts the final energy at -31.271 eV per formula unit. Its density of states at the Fermi level is 1.293 states/eV per atom. For the formation energy, the calculation gives 0.98 eV/atom. For the energy above the lowest structure with this stoichiometry, the calculation gives 0.0 meV/atom. The calculation puts the calculated density at 6.2 g/cm³.

Cell and atoms, written as extended XYZ:
```
5
Lattice="4.714 0.000 0.000 0.000 4.714 0.000 0.000 0.000 4.714" Properties=species:S:1:pos:R:3 pbc="T T T"
Ca 0.000 0.000 0.000
Sc 2.357 2.357 2.357
Ru 0.000 2.357 2.357
Ru 2.357 0.000 2.357
Ru 2.357 2.357 0.000
```